No. 1
VASP calculation (PBE-GGA) on a geometry-optimized SrEr2Pa structure.

Lattice parameters (Å, degrees): 3.4937 3.4937 12.4635 81.94 81.94 60.00
Closest atoms and distances in Å follow each position.
Sites, in units of the cell vectors:
Sr 0.0000 0.0000 0.0000  6 Sr 3.49, 2 Er 3.50
Pa 0.5000 0.5000 0.5000  6 Er 3.33, 6 Pa 3.49
Er 0.0950 0.0950 0.7151  3 Pa 3.33, 6 Er 3.49, 1 Sr 3.50
Er 0.9050 0.9050 0.2849  3 Pa 3.33, 6 Er 3.49, 1 Sr 3.50

Properties
Formation energy from the elements ... 0.300 eV/atom
Symmetry ... R-3m, No. 166

***

No. 2
VASP calculation (PBE-GGA) on a geometry-optimized ScI2N2 structure.

Lattice parameters (Å, degrees): 5.8111 5.8111 4.2760 90.00 90.00 90.00
Closest atoms and distances in Å follow each position.
Sites, in units of the cell vectors:
I 0.0000 0.5000 0.0000  2 Sc 2.91
I 0.5000 0.0000 0.0000  2 Sc 2.91
Sc 0.0000 0.0000 0.0000  2 N 2.14
N 0.5000 0.5000 0.5000  8 I 3.61
N 0.0000 0.0000 0.5000  2 Sc 2.14

Properties
Polymorph energy (0 for the lowest one) ... 86 meV/atom
Symmetry ... P4/mmm, No. 123
Raw formation energy ... 0.8707 eV/atom

***

No. 3
VASP calculation (PBE-GGA) on a geometry-optimized LiSi2As structure.

Lattice parameters (Å, degrees): 4.1273 2.7211 5.7652 90.00 90.00 90.00
Closest atoms and distances in Å follow each position.
Sites, in units of the cell vectors:
As 0.0000 0.2501 0.5505  1 Si 2.50, 4 Li 2.71, 2 As 2.72
Li 0.5000 0.7501 0.7428  4 As 2.71, 2 Li 2.72, 4 Si 2.83
Si 0.0000 0.2499 0.9835  4 Si 2.48-2.72, 1 As 2.50
Si 0.5000 0.2499 0.2233  4 Si 2.48-2.72

Properties
Symmetry ... Pmm2, No. 25
Raw formation energy ... 0.0108 eV/atom

***

No. 4
VASP calculation (PBE-GGA) on a geometry-optimized Er7Co2Cu2 structure.

Lattice parameters (Å, degrees): 6.4803 6.7885 6.4803 90.00 111.46 90.00
Closest atoms and distances in Å follow each position.
Sites, in units of the cell vectors:
Er 0.9998 0.2562 0.5003  2 Co 2.57
Er 0.5003 0.7438 0.9998  2 Co 2.57
Er 0.0002 0.7438 0.4997  2 Co 2.57
Er 0.4997 0.2562 0.0002  2 Co 2.57
Er 0.0000 0.0000 0.0000  2 Co 3.19
Er 0.5002 0.7513 0.4998  2 Co 2.74-2.75, 2 Cu 2.95
Er 0.4998 0.2487 0.5002  2 Co 2.74-2.75, 2 Cu 2.95
Co 0.7020 0.0000 0.2980  6 Er 2.57-2.75
Co 0.2980 0.0000 0.7020  6 Er 2.57-2.75
Cu 0.8301 0.5000 0.8301  1 Cu 2.48
Cu 0.1699 0.5000 0.1699  1 Cu 2.48

Properties
Formation energy from the elements ... -0.057 eV/atom
Symmetry ... Cmmm, No. 65

***

No. 5
VASP calculation (PBE-GGA) on a geometry-optimized NaHg2Te2 structure.

Lattice parameters (Å, degrees): 6.4186 6.4186 8.9653 110.98 110.98 90.00
Closest atoms and distances in Å follow each position.
Sites, in units of the cell vectors:
Na 0.0000 0.0000 0.0000  6 Te 3.24-3.46
Na 0.2500 0.7500 0.5000  6 Te 3.24-3.46
Hg 0.1250 0.3750 0.7500  2 Te 2.84
Hg 0.6250 0.3750 0.2500  2 Te 2.84
Hg 0.6250 0.8750 0.2500  2 Te 2.84
Hg 0.6250 0.3750 0.7500  2 Te 2.84
Te 0.7765 0.7765 0.5530  2 Hg 2.84
Te 0.4735 0.9735 0.9470  2 Hg 2.84
Te 0.2235 0.2235 0.4470  2 Hg 2.84
Te 0.0265 0.5265 0.0530  2 Hg 2.84

Properties
Polymorph energy (0 for the lowest one) ... 47 meV/atom
Symmetry ... I4_1/amd, No. 141
Raw formation energy ... -0.2019 eV/atom

***

No. 6
VASP calculation (PBE-GGA) on a geometry-optimized KAlCo2 structure.

Lattice parameters (Å, degrees): 3.7652 2.7413 7.8564 68.45 90.00 90.00
Closest atoms and distances in Å follow each position.
Sites, in units of the cell vectors:
K 0.5000 0.2500 0.2500  2 K 2.74
Co 0.0000 0.0953 0.8977  1 Co 2.16
Co 0.0000 0.4047 0.6023  1 Co 2.16
Al 0.5000 0.7500 0.7500  8 Co 2.57, 2 Al 2.74

Properties
Formation energy from the elements ... 0.401 eV/atom
Symmetry ... P2/m, No. 10

***

No. 7
VASP calculation (PBE-GGA) on a geometry-optimized Th3Al8Ag3 structure.

Lattice parameters (Å, degrees): 4.4611 8.5574 8.4688 71.46 74.73 74.89
Closest atoms and distances in Å follow each position.
Sites, in units of the cell vectors:
Th 0.3074 0.6919 0.6933  10 Al 3.21-3.54, 5 Ag 3.24-3.58
Th 0.6926 0.3081 0.3067  10 Al 3.21-3.54, 5 Ag 3.24-3.58
Th 0.0000 0.0000 0.0000  12 Al 3.26-3.64, 4 Ag 3.40
Al 0.1389 0.1354 0.5868  5 Al 2.70-2.86, 1 Ag 2.90
Al 0.8611 0.8646 0.4132  5 Al 2.70-2.86, 1 Ag 2.90
Al 0.8641 0.4148 0.8570  4 Ag 2.64-2.81, 2 Al 2.88
Al 0.1359 0.5852 0.1430  4 Ag 2.64-2.81, 2 Al 2.88
Al 0.4971 0.7131 0.2927  1 Ag 2.60, 5 Al 2.65-2.88
Al 0.5029 0.2869 0.7073  1 Ag 2.60, 5 Al 2.65-2.88
Al 0.3397 0.0361 0.2845  1 Ag 2.64, 4 Al 2.65-2.80
Al 0.6603 0.9639 0.7155  1 Ag 2.64, 4 Al 2.65-2.80
Ag 0.0000 0.5000 0.5000  8 Al 2.81-3.06
Ag 0.6623 0.6961 0.9794  5 Al 2.60-2.76
Ag 0.3377 0.3039 0.0206  5 Al 2.60-2.76

Properties
Formation energy from the elements ... -0.314 eV/atom
Polymorph energy (0 for the lowest one) ... 2 meV/atom
Symmetry ... C2/m, No. 12

***

No. 8
VASP calculation (PBE-GGA) on a geometry-optimized ZnSiTc structure.

Lattice parameters (Å, degrees): 4.0710 4.0710 2.9999 90.00 90.00 120.00
Closest atoms and distances in Å follow each position.
Sites, in units of the cell vectors:
Si 0.0000 0.0000 0.0613  3 Tc 2.40, 3 Zn 2.57
Tc 0.3333 0.6667 0.2220  3 Si 2.40
Zn 0.6667 0.3333 0.7167  3 Si 2.57, 6 Tc 2.78-2.80

Properties
Polymorph energy (0 for the lowest one) ... 102 meV/atom
Symmetry ... P3m1, No. 156
Raw formation energy ... -0.0165 eV/atom